[1]
Entry from Alexandria: a relaxed structure of PmDy5Au6 (GGA-PBE).

Cell and atoms, written as extended XYZ:
```
12
Lattice="5.0176 0.0020 -1.0534 -0.0030 7.1801 -0.0007 -0.9399 0.0004 8.0787" Properties=species:S:1:pos:R:3 pbc="T T T"
Au 2.5080 1.8607 -0.5268
Au 1.5667 5.3218 7.5515
Dy 1.0440 7.1810 5.0254
Au 0.5250 5.3666 2.5719
Au 3.5497 1.8159 4.4528
Dy 1.0499 3.5910 5.0445
Dy -0.0015 3.5900 -0.0003
Pm 0.0000 0.0000 0.0000
Dy 3.0247 3.5916 1.9802
Au 0.5265 1.8145 2.5721
Au 3.5482 5.3681 4.4525
Dy 3.0306 0.0015 1.9993
```


[2]
Entry from Alexandria: a relaxed structure of Sr3Ac4Tl4 (GGA-PBE).

Cell and atoms, written as extended XYZ:
```
11
Lattice="4.9254 0.0000 0.0000 0.0000 9.8596 0.0000 -2.4627 -4.9298 9.2748" Properties=species:S:1:pos:R:3 pbc="T T T"
Ac 0.0000 -1.8845 6.1680
Tl 2.4627 0.0000 4.7397
Tl 0.0000 4.9298 4.5352
Tl 2.4627 1.7254 0.0000
Sr 0.0000 0.0000 2.0848
Ac 2.4627 6.8143 3.1068
Tl 2.4627 8.1343 0.0000
Ac 0.0000 1.8845 6.1680
Sr 2.4627 4.9298 7.1900
Sr 0.0000 4.9298 0.0000
Ac 2.4627 3.0453 3.1068
```


no.,final energy (eV per atom)
1,-4.80
2,-3.01